Record 1
CuHg3Ir: relaxed, PBE.

Cell and atoms, written as extended XYZ:
```
5
Lattice="-5.197 -0.642 0.165 0.051 -1.687 -4.960 0.661 -4.919 1.680" Properties=species:S:1:pos:R:3 pbc="T T T"
Ir 0.000 0.000 0.000
Hg 0.025 -0.844 -2.480
Hg 0.330 -2.459 0.840
Hg -2.599 -0.321 0.083
Cu -2.243 -3.624 -1.558
```

Distance to the lowest polymorph of the same formula   0 meV per atom
SG   Pm-3m
Magnetic moment   0.0 μB per formula unit
ΔH_f (0 K)   778 meV/atom

Record 2
CuHg2Ir2: relaxed, PBE.

Cell and atoms, written as extended XYZ:
```
10
Lattice="-4.548 4.425 -0.928 -2.992 -1.958 5.323 2.317 2.877 2.361" Properties=species:S:1:pos:R:3 pbc="T T T"
Ir -4.247 -0.079 4.265
Ir -5.834 2.583 2.578
Ir -3.293 2.546 0.130
Ir -1.706 -0.117 1.817
Hg -1.660 0.892 4.613
Hg -4.380 2.813 4.942
Hg -3.562 4.451 2.142
Hg -0.842 2.531 1.813
Cu 0.000 0.000 0.000
Cu -3.770 1.233 2.197
```

SG   P4/mbm
Magnetic moment   0.0 μB per formula unit
ΔH_f (0 K)   420 meV/atom